Record 1
A relaxed structure of As4Br, computed with PBE-GGA.

Summary:
- total moment (μB/f.u.) = 0.0
- ΔE_f (raw) (eV/atom) = 0.08
- density of states at the Fermi level (states/eV/cell) = 1.3
- E (eV per atom) = -3.98

a b c (Å): 6.891 6.891 6.891
angles (deg): 142.18 142.18 54.56
Element x y z (fractional)
As: 0.137 0.137 0.000
As: 0.250 0.750 0.500
As: 0.750 0.250 0.500
As: 0.863 0.863 0.000
Br: 0.500 0.500 0.000


Record 2
A relaxed structure of Co3AgB, computed with PBE-GGA.

Summary:
- total moment (μB/f.u.) = 3.1
- density of states at the Fermi level (states/eV/cell) = 4.5
- E (eV per atom) = -5.94
- energy of formation (meV per atom) = 225

a b c (Å): 3.874 3.874 3.874
angles (deg): 90.00 90.00 90.00
Element x y z (fractional)
Co: 0.000 0.000 0.500
Co: 0.000 0.500 0.000
Co: 0.500 0.000 0.000
Ag: 0.500 0.500 0.500
B: 0.000 0.000 0.000